This record from Alexandria via LeMat-Bulk describes an optimized crystal structure of Sm2SnSe. The functional is PBE.

```
Sm2SnSe
1.0
6.143 0.000 0.000
0.000 6.142 0.000
0.000 0.000 12.264
Sm Sn Se
8 4 4
Direct
0.000 0.250 0.120 Sm
0.000 0.250 0.630 Sm
0.000 0.750 0.370 Sm
0.000 0.750 0.880 Sm
0.500 0.250 0.380 Sm
0.500 0.250 0.870 Sm
0.500 0.750 0.130 Sm
0.500 0.750 0.620 Sm
0.000 0.250 0.375 Sn
0.000 0.750 0.625 Sn
0.500 0.250 0.125 Sn
0.500 0.750 0.875 Sn
0.000 0.250 0.875 Se
0.000 0.750 0.125 Se
0.500 0.250 0.625 Se
0.500 0.750 0.375 Se
```

## Properties
**DFT total energy**: -5.526 eV/atom
**Crystal system**: orthorhombic
**Space-group type**: Pmna, No. 53
**N(E_F)**: 0.247 states/eV per atom
**ΔE_f (raw)**: -1.295 eV per atom
**Calculated density**: 7.15 Mg/m³
**Size of the total moment**: 0.00 μB per cell